# 1
14
Lattice="7.611 0.000 0.000 0.000 7.611 0.000 0.000 0.000 7.611" Properties=species:S:1:pos:R:3 comment="TmAg3Hg3 PBE-GGA optimized geometry" sg="Pm-3n, No. 223" pbc="T T T"
Tm 3.806 3.806 3.806
Tm 0.000 0.000 0.000
Hg 1.903 0.000 3.806
Hg 0.000 3.806 1.903
Hg 3.806 5.709 0.000
Hg 5.709 0.000 3.806
Hg 0.000 3.806 5.709
Hg 3.806 1.903 0.000
Ag 0.000 1.903 3.806
Ag 0.000 5.709 3.806
Ag 3.806 0.000 5.709
Ag 5.709 3.806 0.000
Ag 3.806 0.000 1.903
Ag 1.903 3.806 0.000

---

# 2
14
Lattice="-1.037 -7.126 -0.664 -0.249 -4.182 5.895 -7.301 -2.806 2.137" Properties=species:S:1:pos:R:3 comment="TmAg3Hg3 PBE-GGA optimized geometry" sg="R-3, No. 148" pbc="T T T"
Tm -0.542 -3.754 1.750
Tm -8.046 -10.360 5.618
Ag -5.243 -8.974 5.352
Ag -5.251 -7.321 1.159
Ag -4.662 -4.557 4.670
Ag -3.926 -9.557 2.698
Ag -3.337 -6.793 6.209
Ag -3.345 -5.140 2.015
Hg -1.764 -4.911 4.437
Hg -2.368 -7.811 0.983
Hg -2.338 -9.348 5.266
Hg -6.250 -4.766 2.102
Hg -6.220 -6.303 6.385
Hg -6.824 -9.203 2.931

---

# 3
3
Lattice="-8.356 -0.795 1.885 -7.067 -2.712 4.088 -7.247 0.431 4.615" Properties=species:S:1:pos:R:3 comment="TmAgHg PBE-GGA optimized geometry" sg="R3m, No. 160" pbc="T T T"
Ag -3.487 -0.473 1.629
Tm -0.903 -0.123 0.422
Hg -20.845 -2.829 9.737

---

# 4
7
Lattice="4.836 0.000 1.511 2.182 4.316 1.511 -0.055 -0.034 8.672" Properties=species:S:1:pos:R:3 comment="Tm4Ag2Hg PBE-GGA optimized geometry" sg="R-3m, No. 166" pbc="T T T"
Tm 6.100 3.751 5.963
Tm 0.864 0.531 5.731
Tm 4.344 2.671 3.086
Tm 2.619 1.611 8.607
Hg 0.000 0.000 0.000
Ag 5.219 3.210 8.781
Ag 1.744 1.073 2.913

---

# 5
6
Lattice="3.633 0.000 0.000 0.000 3.633 0.000 0.000 0.000 10.757" Properties=species:S:1:pos:R:3 comment="Tm3Ag2Hg PBE-GGA optimized geometry" sg="P4/mmm, No. 123" pbc="T T T"
Tm 0.000 0.000 0.000
Tm 0.000 0.000 7.222
Tm 0.000 0.000 3.535
Ag 1.816 1.816 8.983
Ag 1.816 1.816 1.774
Hg 1.816 1.816 5.378

---

# 6
7
Lattice="3.304 0.000 0.000 0.000 4.570 0.000 0.000 -2.285 10.205" Properties=species:S:1:pos:R:3 comment="Tm2Ag3Hg2 PBE-GGA optimized geometry" sg="Cmmm, No. 65" pbc="T T T"
Tm 0.000 2.285 7.217
Tm 0.000 0.000 2.988
Ag 1.652 2.285 1.367
Ag 1.652 0.000 8.837
Ag 0.000 0.000 0.000
Hg 1.652 2.285 4.251
Hg 1.652 0.000 5.953

---

# 7
12
Lattice="3.453 0.000 0.000 0.000 4.981 -0.065 0.000 -2.678 16.844" Properties=species:S:1:pos:R:3 comment="Tm3Ag2Hg7 PBE-GGA optimized geometry" sg="P2/m, No. 10" pbc="T T T"
Tm 1.727 2.490 -0.032
Tm 0.000 -0.114 6.341
Tm 0.000 2.417 10.439
Ag 1.727 2.385 4.900
Ag 1.727 -0.082 11.880
Hg 1.727 2.387 7.636
Hg 1.727 -0.084 9.143
Hg 0.000 2.363 2.445
Hg 0.000 0.000 0.000
Hg 0.000 -0.060 14.335
Hg 1.727 2.418 13.221
Hg 1.727 -0.115 3.558

---

# 8
10
Lattice="-2.411 -2.595 0.884 0.626 -1.667 -3.187 13.057 -9.554 7.562" Properties=species:S:1:pos:R:3 comment="Tm4AgHg5 PBE-GGA optimized geometry" sg="P4/mmm, No. 123" pbc="T T T"
Tm 2.467 -1.805 1.429
Tm 5.174 -3.786 2.997
Tm 7.883 -5.768 4.565
Tm 10.590 -7.749 6.133
Ag 0.000 0.000 0.000
Hg 0.302 -3.005 -0.460
Hg 2.968 -4.956 1.084
Hg 5.636 -6.908 2.629
Hg 8.304 -8.861 4.174
Hg 10.970 -10.812 5.718

---

Number 1: D(E_F) 9.9 states/eV per cell, VASP energy -0.05269 Ha/atom, calculated formation energy 0.556 eV per atom. Number 2: D(E_F) 3.4 states/eV per cell, VASP energy -0.07552 Ha/atom, calculated formation energy -0.065 eV per atom. Number 3: D(E_F) 1.3 states/eV per cell, VASP energy -0.08523 Ha/atom, calculated formation energy 0.222 eV per atom. Number 4: D(E_F) 5.0 states/eV per cell, VASP energy -0.13366 Ha/atom, calculated formation energy -0.224 eV per atom. Number 5: D(E_F) 3.3 states/eV per cell, VASP energy -0.13315 Ha/atom, calculated formation energy -0.387 eV per atom. Number 6: D(E_F) 3.2 states/eV per cell, VASP energy -0.10183 Ha/atom, calculated formation energy -0.185 eV per atom. Number 7: D(E_F) 6.5 states/eV per cell, VASP energy -0.07225 Ha/atom, calculated formation energy -0.197 eV per atom. Number 8: D(E_F) 6.0 states/eV per cell, VASP energy -0.09585 Ha/atom, calculated formation energy -0.384 eV per atom.